Entry 1:
This record from Alexandria via LeMat-Bulk describes an optimized crystal structure of TlN. The functional is PBE-GGA.

Energy   -4.30 eV per atom
DOS at the Fermi energy   0.1 states/eV/f.u.
ΔE to the lowest computed polymorph   944 meV/atom
Energy relative to the elements, uncorrected   1043 meV/atom
Size of the total moment   0.00 Bohr magnetons per cell

Cell: 7.174 6.447 6.038 Å, 70.06 57.65 52.29°
Sites, in units of the cell vectors:
Tl: 0.056 0.694 0.056
Tl: 0.306 0.944 0.306
Tl: 0.694 0.056 0.694
Tl: 0.944 0.306 0.944
N: 0.028 0.028 0.722
N: 0.278 0.278 0.972
N: 0.722 0.722 0.028
N: 0.972 0.972 0.278

Entry 2:
This record from Alexandria via LeMat-Bulk describes an optimized crystal structure of TlN. The functional is PBE-GGA.

Energy   -4.33 eV per atom
DOS at the Fermi energy   0.3 states/eV/f.u.
ΔE to the lowest computed polymorph   920 meV/atom
Energy relative to the elements, uncorrected   1019 meV/atom
Size of the total moment   0.00 Bohr magnetons per cell

Cell: 6.177 6.177 6.177 Å, 109.47 109.47 109.47°
Sites, in units of the cell vectors:
Tl: 0.000 0.000 0.341
Tl: 0.000 0.341 0.000
Tl: 0.341 0.000 0.000
Tl: 0.659 0.659 0.659
N: 0.000 0.000 0.690
N: 0.000 0.690 0.000
N: 0.310 0.310 0.310
N: 0.690 0.000 0.000